Entry 1:
Crystalline TbPr2Th4 at its relaxed geometry, computed with PBE.

crystal system = orthorhombic
total DFT energy (no corrections) = -6.1941 eV per atom
energy relative to the elements = 0.073 eV/atom

Cell and atoms, written as CIF:
```
data_TbPr2Th4
_symmetry_space_group_name_H-M 'P 1'
_symmetry_Int_Tables_number 1
_symmetry_space_group_name_Hall 'P 1'
_cell_length_a 3.593
_cell_length_b 3.597
_cell_length_c 18.395
_cell_angle_alpha 90.00
_cell_angle_beta 95.60
_cell_angle_gamma 90.00
loop_
_atom_site_label
_atom_site_type_symbol
_atom_site_fract_x
_atom_site_fract_y
_atom_site_fract_z
_atom_site_occupancy
Th1 Th 0.636 0.000 0.272 1
Th2 Th 0.364 0.000 0.728 1
Tb1 Tb 0.500 0.000 0.000 1
Th3 Th 0.070 0.500 0.140 1
Pr1 Pr 0.205 0.500 0.410 1
Pr2 Pr 0.795 0.500 0.590 1
Th4 Th 0.930 0.500 0.860 1
```



Entry 2:
Crystalline Tb6Pr2Th3 at its relaxed geometry, computed with PBE.

crystal system = monoclinic
total DFT energy (no corrections) = -5.2663 eV per atom
energy relative to the elements = 0.152 eV/atom

Cell and atoms, written as CIF:
```
data_Tb6Pr2Th3
_symmetry_space_group_name_H-M 'P 1'
_symmetry_Int_Tables_number 1
_symmetry_space_group_name_Hall 'P 1'
_cell_length_a 6.202
_cell_length_b 6.216
_cell_length_c 12.961
_cell_angle_alpha 76.33
_cell_angle_beta 61.72
_cell_angle_gamma 60.08
loop_
_atom_site_label
_atom_site_type_symbol
_atom_site_fract_x
_atom_site_fract_y
_atom_site_fract_z
_atom_site_occupancy
Tb1 Tb 0.759 0.670 0.244 1
Tb2 Tb 0.090 0.000 0.243 1
Th1 Th 0.333 0.334 0.000 1
Tb3 Tb 0.241 0.330 0.756 1
Tb4 Tb 0.571 0.670 0.756 1
Pr1 Pr 0.835 0.331 0.500 1
Tb5 Tb 0.910 0.000 0.757 1
Pr2 Pr 0.165 0.669 0.500 1
Th2 Th 0.667 0.666 0.000 1
Th3 Th 0.000 0.000 0.000 1
Tb6 Tb 0.429 0.330 0.244 1
```



Entry 3:
Crystalline Tb4PrTh5 at its relaxed geometry, computed with PBE.

crystal system = monoclinic
total DFT energy (no corrections) = -6.0003 eV per atom
energy relative to the elements = 0.040 eV/atom

Cell and atoms, written as CIF:
```
data_Tb4PrTh5
_symmetry_space_group_name_H-M 'P 1'
_symmetry_Int_Tables_number 1
_symmetry_space_group_name_Hall 'P 1'
_cell_length_a 3.594
_cell_length_b 7.147
_cell_length_c 12.894
_cell_angle_alpha 98.33
_cell_angle_beta 98.01
_cell_angle_gamma 90.00
loop_
_atom_site_label
_atom_site_type_symbol
_atom_site_fract_x
_atom_site_fract_y
_atom_site_fract_z
_atom_site_occupancy
Th1 Th 0.899 0.209 0.798 1
Pr1 Pr 0.500 0.000 0.000 1
Tb1 Tb 0.299 0.899 0.599 1
Th2 Th 0.101 0.791 0.202 1
Tb2 Tb 0.701 0.101 0.401 1
Tb3 Tb 0.101 0.309 0.203 1
Tb4 Tb 0.899 0.691 0.797 1
Th3 Th 0.300 0.399 0.599 1
Th4 Th 0.500 0.500 0.000 1
Th5 Th 0.700 0.601 0.401 1
```



Entry 4:
Crystalline Tb3Pr3Th2 at its relaxed geometry, computed with PBE.

crystal system = orthorhombic
total DFT energy (no corrections) = -5.3471 eV per atom
relative energy among the computed polymorphs = 0.0000 eV per atom
energy relative to the elements = 0.037 eV/atom

Cell and atoms, written as CIF:
```
data_Tb3Pr3Th2
_symmetry_space_group_name_H-M 'P 1'
_symmetry_Int_Tables_number 1
_symmetry_space_group_name_Hall 'P 1'
_cell_length_a 5.091
_cell_length_b 5.109
_cell_length_c 10.970
_cell_angle_alpha 103.47
_cell_angle_beta 103.42
_cell_angle_gamma 90.00
loop_
_atom_site_label
_atom_site_type_symbol
_atom_site_fract_x
_atom_site_fract_y
_atom_site_fract_z
_atom_site_occupancy
Th1 Th 0.750 0.250 0.499 1
Th2 Th 0.250 0.750 0.501 1
Tb1 Tb 0.129 0.129 0.258 1
Tb2 Tb 0.000 0.500 0.000 1
Pr1 Pr 0.371 0.371 0.742 1
Pr2 Pr 0.629 0.629 0.258 1
Tb3 Tb 0.871 0.871 0.742 1
Pr3 Pr 0.500 0.000 0.000 1
```



Entry 5:
Crystalline Tb12PrTh7 at its relaxed geometry, computed with PBE.

crystal system = cubic
total DFT energy (no corrections) = -4.6945 eV per atom
energy relative to the elements = 0.920 eV/atom

Cell and atoms, written as CIF:
```
data_Tb12PrTh7
_symmetry_space_group_name_H-M 'P 1'
_symmetry_Int_Tables_number 1
_symmetry_space_group_name_Hall 'P 1'
_cell_length_a 10.027
_cell_length_b 10.027
_cell_length_c 10.027
_cell_angle_alpha 109.47
_cell_angle_beta 109.47
_cell_angle_gamma 109.47
loop_
_atom_site_label
_atom_site_type_symbol
_atom_site_fract_x
_atom_site_fract_y
_atom_site_fract_z
_atom_site_occupancy
Tb1 Tb 0.258 0.517 0.259 1
Tb2 Tb 0.517 0.259 0.258 1
Tb3 Tb 0.258 0.998 0.741 1
Th1 Th 0.000 0.500 0.000 1
Tb4 Tb 0.742 0.002 0.259 1
Tb5 Tb 0.259 0.258 0.517 1
Th2 Th 0.500 0.500 0.500 1
Pr1 Pr 0.000 0.000 0.000 1
Tb6 Tb 0.742 0.483 0.741 1
Tb7 Tb 0.002 0.259 0.742 1
Tb8 Tb 0.741 0.258 0.998 1
Th3 Th 0.500 0.500 0.000 1
Th4 Th 0.500 0.000 0.000 1
Tb9 Tb 0.483 0.741 0.742 1
Th5 Th 0.000 0.000 0.500 1
Th6 Th 0.500 0.000 0.500 1
Th7 Th 0.000 0.500 0.500 1
Tb10 Tb 0.741 0.742 0.483 1
Tb11 Tb 0.259 0.742 0.002 1
Tb12 Tb 0.998 0.741 0.258 1
```



Entry 6:
Crystalline Tb7Pr2Th3 at its relaxed geometry, computed with PBE.

crystal system = monoclinic
total DFT energy (no corrections) = -5.2535 eV per atom
energy relative to the elements = 0.099 eV/atom

Cell and atoms, written as CIF:
```
data_Tb7Pr2Th3
_symmetry_space_group_name_H-M 'P 1'
_symmetry_Int_Tables_number 1
_symmetry_space_group_name_Hall 'P 1'
_cell_length_a 3.521
_cell_length_b 6.410
_cell_length_c 17.973
_cell_angle_alpha 75.94
_cell_angle_beta 90.00
_cell_angle_gamma 90.00
loop_
_atom_site_label
_atom_site_type_symbol
_atom_site_fract_x
_atom_site_fract_y
_atom_site_fract_z
_atom_site_occupancy
Tb1 Tb 0.000 0.000 0.000 1
Tb2 Tb 0.000 0.446 0.837 1
Th1 Th 0.000 0.126 0.338 1
Th2 Th 0.500 0.500 0.000 1
Tb3 Tb 0.500 0.756 0.505 1
Tb4 Tb 0.500 0.244 0.495 1
Tb5 Tb 0.500 0.928 0.833 1
Pr1 Pr 0.500 0.370 0.671 1
Th3 Th 0.000 0.874 0.662 1
Tb6 Tb 0.000 0.554 0.163 1
Pr2 Pr 0.500 0.630 0.329 1
Tb7 Tb 0.500 0.072 0.167 1
```



| no. | total magnetization (μB/cell) |
| --- | --- |
| 1 | 0.0 |
| 2 | 0.0 |
| 3 | 0.0 |
| 4 | 0.0 |
| 5 | 0.0 |
| 6 | 0.0 |